1.
First-principles (PBE) data for a geometry-optimized ZnTcP2 structure, as listed in Alexandria via LeMat-Bulk.

Cell lengths 2.7996, 2.7996, 9.3859 Å; angles 90.00, 90.00, 113.20 degrees
Closest atoms and distances in Å follow each position.
Fractional coordinates of all 4 atoms:
Zn1 0.5000 0.5000 0.7364  2 P 2.50, 2 Tc 2.70, 4 Zn 2.80
Tc1 0.0000 0.0000 0.4998  2 P 2.30
P1 0.5000 0.5000 0.3173  2 Tc 2.30
P2 0.0000 0.0000 0.9465  2 Zn 2.50, 4 P 2.80

## Properties
Calculated density in Mg/m³: 5.5
Calculated formation energy in kJ/mol of atoms: 27

=====

2.
First-principles (PBE) data for a geometry-optimized DyErIrPb structure, as listed in Alexandria via LeMat-Bulk.

Cell lengths 5.1140, 5.1140, 5.1140 Å; angles 60.00, 60.00, 60.00 degrees
Closest atoms and distances in Å follow each position.
Fractional coordinates of all 4 atoms:
Pb1 0.5000 0.5000 0.5000  4 Er 3.13, 4 Dy 3.13
Er1 0.2500 0.2500 0.2500  4 Ir 3.13, 4 Pb 3.13
Ir1 0.0000 0.0000 0.0000  4 Dy 3.13, 4 Er 3.13
Dy1 0.7500 0.7500 0.7500  4 Pb 3.13, 4 Ir 3.13

## Properties
Calculated density in Mg/m³: 12.8
Calculated formation energy in kJ/mol of atoms: -47
Offset from the most stable computed form in meV/atom: 203.6

=====

3.
First-principles (PBE) data for a geometry-optimized Bi3Te3As structure, as listed in Alexandria via LeMat-Bulk.

Cell lengths 4.3854, 8.9311, 12.7632 Å; angles 92.64, 90.00, 90.00 degrees
Closest atoms and distances in Å follow each position.
Fractional coordinates of all 14 atoms:
Bi1 0.7500 0.1204 0.3617  3 Te 2.93-3.06, 2 As 3.19
Bi2 0.7500 0.1561 0.8651  1 As 2.92, 4 Te 3.12-3.19
Bi3 0.7500 0.6434 0.3534  2 As 2.93, 1 Te 2.99
Bi4 0.2500 0.8439 0.1349  1 As 2.92, 4 Te 3.12-3.19
Bi5 0.2500 0.3566 0.6466  2 As 2.93, 1 Te 2.99
Bi6 0.2500 0.8796 0.6383  3 Te 2.93-3.06, 2 As 3.19
Te1 0.7500 0.5957 0.1201  3 Bi 2.99-3.12
Te2 0.2500 0.8966 0.8681  3 Bi 2.93-3.19
Te3 0.2500 0.4043 0.8799  3 Bi 2.99-3.12
Te4 0.2500 0.3583 0.3867  5 Bi 3.06-3.40
Te5 0.7500 0.1034 0.1319  3 Bi 2.93-3.19
Te6 0.7500 0.6417 0.6133  5 Bi 3.06-3.40
As1 0.2500 0.8608 0.3636  5 Bi 2.92-3.19
As2 0.7500 0.1392 0.6364  5 Bi 2.92-3.19

## Properties
Calculated density in Mg/m³: 7.2
ΔE_f (raw) in meV/atom: -113

=====

4.
First-principles (PBE) data for a geometry-optimized ErMgPa2N5 structure, as listed in Alexandria via LeMat-Bulk.

Cell lengths 3.5046, 7.0347, 10.9991 Å; angles 90.00, 90.00, 104.42 degrees
Closest atoms and distances in Å follow each position.
Fractional coordinates of all 18 atoms:
Er1 0.7809 0.5618 0.4851  6 N 2.28-2.50
Er2 0.2191 0.4382 0.9851  6 N 2.28-2.50
N1 0.2941 0.5882 0.3341  2 Er 2.42, 3 Pa 2.51-2.53
N2 0.6309 0.2618 0.5764  1 Mg 2.12, 2 Pa 2.21, 1 Er 2.28
N3 0.7059 0.4118 0.8341  2 Er 2.42, 3 Pa 2.51-2.53
N4 0.2868 0.5735 0.6469  3 Pa 2.18-2.38
N5 0.0611 0.1222 0.0604  2 Mg 2.08, 1 Pa 2.17, 1 Er 2.31
N6 0.3691 0.7382 0.0764  1 Mg 2.12, 2 Pa 2.21, 1 Er 2.28
N7 0.9389 0.8778 0.5604  2 Mg 2.08, 1 Pa 2.17, 1 Er 2.31
N8 0.4706 0.9413 0.7951  1 Mg 2.15, 2 Pa 2.25
N9 0.7132 0.4265 0.1469  3 Pa 2.18-2.38
N10 0.5294 0.0587 0.2951  1 Mg 2.15, 2 Pa 2.25
Pa1 0.1236 0.2473 0.2420  5 N 2.17-2.38
Pa2 0.8764 0.7527 0.7420  5 N 2.17-2.38
Pa3 0.1323 0.2646 0.6987  3 N 2.18-2.21
Pa4 0.8677 0.7354 0.1987  3 N 2.18-2.21
Mg1 0.5060 0.0119 0.9854  4 N 2.08-2.15
Mg2 0.4940 0.9881 0.4854  4 N 2.08-2.15

## Properties
Calculated density in Mg/m³: 9.2
ΔE_f (raw) in meV/atom: -1382

=====

5.
First-principles (PBE) data for a geometry-optimized Tb5ThIn6 structure, as listed in Alexandria via LeMat-Bulk.

Cell lengths 5.3841, 7.5225, 9.2968 Å; angles 113.86, 106.77, 90.00 degrees
Closest atoms and distances in Å follow each position.
Fractional coordinates of all 12 atoms:
In1 0.8298 0.5713 0.6594  7 Tb 3.22-3.33, 1 Th 3.37
In2 0.1703 0.9119 0.3406  7 Tb 3.22-3.33, 1 Th 3.37
In3 0.4999 0.2664 0.0000  6 Tb 3.21-3.26, 2 Th 3.36, 1 In 3.51
In4 0.5001 0.7336 0.0000  6 Tb 3.21-3.26, 2 Th 3.36, 1 In 3.51
In5 0.1702 0.4287 0.3406  7 Tb 3.22-3.33, 1 Th 3.37
In6 0.8297 0.0881 0.6594  7 Tb 3.22-3.33, 1 Th 3.37
Tb1 0.3296 0.3296 0.6593  8 In 3.22-3.26
Tb2 0.6593 0.1593 0.3185  8 In 3.26-3.33
Tb3 0.6704 0.6704 0.3407  8 In 3.22-3.26
Tb4 0.3407 0.8407 0.6815  8 In 3.26-3.33
Tb5 0.0000 0.5000 0.0000  8 In 3.21-3.29
Th1 0.0000 0.0000 0.0000  8 In 3.36-3.37, 4 Tb 3.72

## Properties
Calculated density in Mg/m³: 8.7
Calculated formation energy in kJ/mol of atoms: -41

=====

6.
First-principles (PBE) data for a geometry-optimized Ac2Pr3NbN6 structure, as listed in Alexandria via LeMat-Bulk.

Cell lengths 6.3933, 6.3933, 6.2189 Å; angles 99.57, 99.57, 120.42 degrees
Closest atoms and distances in Å follow each position.
Fractional coordinates of all 12 atoms:
Pr1 0.5000 0.5000 0.5000  6 N 2.56-2.79
Pr2 0.8424 0.1576 0.5000  4 N 2.46-2.55
Pr3 0.1576 0.8424 0.5000  4 N 2.46-2.55
N1 0.7833 0.7833 0.2405  1 Nb 2.35, 2 Pr 2.46
N2 0.2167 0.2167 0.7595  1 Nb 2.35, 2 Pr 2.46
N3 0.6421 0.9235 0.7763  1 Nb 2.23
N4 0.0765 0.3579 0.2237  1 Nb 2.23
N5 0.3579 0.0765 0.2237  1 Nb 2.23
N6 0.9235 0.6421 0.7763  1 Nb 2.23
Ac1 0.3318 0.6682 0.0000  6 N 2.63-2.68
Ac2 0.6682 0.3318 0.0000  6 N 2.63-2.68
Nb1 0.0000 0.0000 0.0000  6 N 2.23-2.35

## Properties
Calculated density in Mg/m³: 8.5
ΔE_f (raw) in meV/atom: -1097

=====

7.
First-principles (PBE) data for a geometry-optimized Sc2TeOs structure, as listed in Alexandria via LeMat-Bulk.

Cell lengths 4.7599, 4.7599, 4.7599 Å; angles 60.00, 60.00, 60.00 degrees
Closest atoms and distances in Å follow each position.
Fractional coordinates of all 4 atoms:
Te1 0.7500 0.7500 0.7500  4 Os 2.91, 4 Sc 2.91
Os1 0.5000 0.5000 0.5000  4 Te 2.91, 4 Sc 2.91
Sc1 0.2500 0.2500 0.2500  4 Os 2.91, 4 Sc 2.91
Sc2 0.0000 0.0000 0.0000  4 Te 2.91, 4 Sc 2.91

## Properties
Calculated density in Mg/m³: 8.9
ΔE_f (raw) in meV/atom: -90

=====

8.
First-principles (PBE) data for a geometry-optimized Nd4IrSe2S structure, as listed in Alexandria via LeMat-Bulk.

Cell lengths 4.1332, 7.3887, 7.3100 Å; angles 71.07, 90.00, 90.00 degrees
Closest atoms and distances in Å follow each position.
Fractional coordinates of all 8 atoms:
Ir1 0.5000 0.5000 0.0000  6 Nd 2.86-2.91
Nd1 0.5000 0.2656 0.7481  1 Ir 2.91, 2 S 2.92, 3 Se 3.03-3.07
Nd2 0.0000 0.7273 0.7654  2 Ir 2.86, 1 S 2.95, 3 Se 3.04-3.09
Nd3 0.0000 0.2727 0.2346  2 Ir 2.86, 1 S 2.95, 3 Se 3.04-3.09
Nd4 0.5000 0.7344 0.2519  1 Ir 2.91, 2 S 2.92, 3 Se 3.03-3.07
Se1 0.5000 0.0000 0.5000  6 Nd 3.07-3.09
Se2 0.0000 0.0000 0.0000  6 Nd 3.03-3.04
S1 0.0000 0.5000 0.5000  6 Nd 2.92-2.95

## Properties
Calculated density in Mg/m³: 7.5
ΔE_f (raw) in meV/atom: -1574

=====

9.
First-principles (PBE) data for a geometry-optimized Ca2ZnPt3 structure, as listed in Alexandria via LeMat-Bulk.

Cell lengths 4.8264, 5.5398, 5.8742 Å; angles 118.13, 114.26, 90.00 degrees
Closest atoms and distances in Å follow each position.
Fractional coordinates of all 6 atoms:
Ca1 0.3199 0.8199 0.6399  6 Pt 2.79-2.92, 1 Zn 2.93
Ca2 0.6801 0.1801 0.3601  6 Pt 2.79-2.92, 1 Zn 2.93
Pt1 0.6437 0.6437 0.2874  1 Pt 2.63, 2 Zn 2.75, 4 Ca 2.79-2.90
Pt2 0.3563 0.3563 0.7126  1 Pt 2.63, 2 Zn 2.75, 4 Ca 2.79-2.90
Pt3 0.0000 0.0000 0.0000  2 Zn 2.77, 4 Ca 2.92
Zn1 0.0000 0.5000 0.0000  6 Pt 2.75-2.77, 2 Ca 2.93

## Properties
Calculated density in Mg/m³: 9.9
Calculated formation energy in kJ/mol of atoms: -47
Offset from the most stable computed form in meV/atom: 431.5

=====

10.
First-principles (PBE) data for a geometry-optimized FeAsIr2 structure, as listed in Alexandria via LeMat-Bulk.

Cell lengths 2.7835, 2.7835, 8.8330 Å; angles 90.00, 90.00, 120.09 degrees
Closest atoms and distances in Å follow each position.
Fractional coordinates of all 4 atoms:
Ir1 0.0000 0.0000 0.9894  2 Fe 2.54, 8 Ir 2.74-2.78
Ir2 0.5000 0.5000 0.2563  2 As 2.60, 8 Ir 2.74-2.78
As1 0.0000 0.0000 0.5049  2 Fe 2.57, 2 Ir 2.60, 6 As 2.78
Fe1 0.5000 0.5000 0.7493  2 Ir 2.54, 2 As 2.57, 6 Fe 2.78

## Properties
Calculated density in Mg/m³: 14.4
Calculated formation energy in kJ/mol of atoms: 33

=====

11.
First-principles (PBE) data for a geometry-optimized Cs2B2Cl7 structure, as listed in Alexandria via LeMat-Bulk.

Cell lengths 6.0636, 8.8093, 8.8093 Å; angles 90.20, 69.65, 69.65 degrees
Closest atoms and distances in Å follow each position.
Fractional coordinates of all 11 atoms:
Cl1 0.1283 0.1381 0.3844  1 B 1.84
Cl2 0.4211 0.7540 0.7540  1 B 1.83
Cl3 0.5000 0.0000 0.0000  2 B 2.28
Cl4 0.8717 0.6156 0.8619  1 B 1.84
Cl5 0.5789 0.2460 0.2460  1 B 1.83
Cl6 0.1283 0.3844 0.1381  1 B 1.84
Cl7 0.8717 0.8619 0.6156  1 B 1.84
Cs1 0.0000 0.1840 0.8160  8 Cl 3.60-3.80
Cs2 0.0000 0.8160 0.1840  8 Cl 3.60-3.80
B1 0.3197 0.2103 0.2103  3 Cl 1.83-1.84
B2 0.6803 0.7897 0.7897  3 Cl 1.83-1.84

## Properties
Calculated density in Mg/m³: 2.2
ΔE_f (raw) in meV/atom: -1131

=====

12.
First-principles (PBE) data for a geometry-optimized MgScCrS4 structure, as listed in Alexandria via LeMat-Bulk.

Cell lengths 7.3980, 7.3862, 7.3862 Å; angles 59.98, 59.94, 59.95 degrees
Closest atoms and distances in Å follow each position.
Fractional coordinates of all 14 atoms:
Sc1 0.0000 0.5000 0.5000  6 S 2.56-2.59
Sc2 0.5000 0.5000 0.5000  6 S 2.56-2.59
Mg1 0.1268 0.1232 0.1232  4 S 2.42-2.48
Mg2 0.8732 0.8768 0.8768  4 S 2.42-2.48
S1 0.7330 0.2785 0.7554  1 Mg 2.42, 1 Cr 2.43, 2 Sc 2.56
S2 0.2669 0.7215 0.2446  1 Mg 2.42, 1 Cr 2.43, 2 Sc 2.56
S3 0.7331 0.7554 0.2785  1 Mg 2.42, 1 Cr 2.43, 2 Sc 2.56
S4 0.2776 0.2527 0.2527  2 Cr 2.46, 1 Mg 2.48, 1 Sc 2.59
S5 0.2670 0.2446 0.7215  1 Mg 2.42, 1 Cr 2.43, 2 Sc 2.56
S6 0.2830 0.7473 0.7473  2 Cr 2.46, 1 Mg 2.48, 1 Sc 2.59
S7 0.7224 0.7473 0.7473  2 Cr 2.46, 1 Mg 2.48, 1 Sc 2.59
S8 0.7171 0.2527 0.2527  2 Cr 2.46, 1 Mg 2.48, 1 Sc 2.59
Cr1 0.5000 0.0000 0.5000  6 S 2.43-2.46
Cr2 0.5000 0.5000 0.0000  6 S 2.43-2.46

## Properties
Calculated density in Mg/m³: 2.9
ΔE_f (raw) in meV/atom: -1323

=====

What is the calculated density in the first record?
5.5 Mg/m³

=====

Which of these has the highest calculated density?
FeAsIr2